DFT (GGA+U) results for a relaxed CaPaMnO6 crystal.

```
CaPaMnO6
1.0
5.3957 0.0000 0.0000
-2.6979 4.6728 0.0000
0.0000 0.0000 4.7008
Ca Pa Mn O
1 1 1 6
Cartesian
0.0000 0.0000 0.0000
2.6979 1.5576 2.3504
0.0000 3.1152 0.0000
-0.9115 1.7969 1.1053
-1.5975 2.9851 3.5954
0.9115 1.7969 3.5954
-0.6860 4.5638 1.1053
1.5975 2.9851 1.1053
0.6860 4.5638 3.5954
```

Values from the calculation:
Total magnetization (Bohr magnetons per cell): 1.993
Density of states at the Fermi level (states/eV per cell): 6.110
Electronic total energy (eV per atom): -7.789

=====

DFT (GGA+U) results for a relaxed CaPaMn2O8 crystal.

```
CaPaMn2O8
1.0
-2.5702 2.5702 5.7533
2.5702 -2.5702 5.7533
2.5702 2.5702 -5.7533
Ca Pa Mn O
1 1 2 8
Cartesian
0.0000 0.0000 0.0000
2.5702 0.0000 2.8767
0.0000 0.0000 5.7533
0.0000 2.5702 2.8767
1.2479 -0.7732 4.8544
1.7970 1.3223 0.8989
-0.8998 1.1138 2.1231
1.3223 3.3434 -0.8989
1.4564 1.6704 3.6302
0.7732 1.2479 6.6522
0.8998 4.0266 2.1231
-1.4564 3.4700 3.6302
```

Values from the calculation:
Total magnetization (Bohr magnetons per cell): 5.000
Density of states at the Fermi level (states/eV per cell): 6.108
Electronic total energy (eV per atom): -7.566